[1]
Material: BaTl2Tc
Method: DFT, PBE
State: relaxed

Values from the calculation:
The polymorph energy (0 for the lowest one) comes out at 338 meV/atom. As for the symmetry: C2/m (12). Its spin magnetization is 2.34 μB/cell.

Lattice parameters (Å, degrees): 7.3727 5.9644 3.4317 89.89 62.47 119.02
Each line ends with the local moment (μB).
Sites, in units of the cell vectors:
Ba1 0.0000 0.5000 0.5000  -0.04
Tl1 0.5000 0.0000 0.5000  -0.03
Tl2 0.0000 0.0000 0.0000  -0.03
Tc1 0.5000 0.5000 0.0000  2.31


[2]
Material: YTcN3
Method: DFT, PBE
State: relaxed

Values from the calculation:
Its formation energy (no corrections) is -0.4085 eV/atom. As for the symmetry: P1 (1). Its spin magnetization is 0.00 μB/cell.

Lattice parameters (Å, degrees): 3.9553 5.8254 6.0150 108.97 91.94 102.87
Sites, in units of the cell vectors:
N1 0.9850 0.9541 0.4077
N2 0.8932 0.8411 0.1882
N3 0.5428 0.2920 0.3842
N4 0.8594 0.4415 0.4891
N5 0.4071 0.6577 0.7741
N6 0.0977 0.3230 0.9745
Tc1 0.2010 0.2745 0.6385
Tc2 0.8649 0.5778 0.8672
Y1 0.3558 0.6359 0.3524
Y2 0.5493 0.0858 0.9846


[3]
Material: Sm2Y8Tl
Method: DFT, PBE
State: relaxed

Values from the calculation:
The polymorph energy (0 for the lowest one) comes out at 111 meV/atom. As for the symmetry: C2/m (12). Its spin magnetization is 0.00 μB/cell.

Lattice parameters (Å, degrees): 5.7517 9.8689 9.8689 40.68 92.23 92.23
Sites, in units of the cell vectors:
Y1 0.2568 0.1371 0.6163
Y2 0.7432 0.3837 0.8629
Y3 0.2319 0.5511 0.5511
Y4 0.2568 0.6163 0.1371
Y5 0.7681 0.4489 0.4489
Y6 0.7432 0.8629 0.3837
Y7 0.7697 0.8275 0.8275
Y8 0.2303 0.1725 0.1725
Sm1 0.7398 0.2794 0.2794
Sm2 0.2602 0.7206 0.7206
Tl1 0.0000 0.0000 0.0000


[4]
Material: PuZr2PaAs4
Method: DFT, PBE
State: relaxed

Values from the calculation:
The calculation puts the electronic total energy at -68.54 eV for the cell shown. As for the symmetry: P2/m (10). Its spin magnetization is 5.26 μB/cell.

Lattice parameters (Å, degrees): 3.9979 6.8855 6.9170 70.43 90.00 90.00
Each line ends with the local moment (μB).
Sites, in units of the cell vectors:
As1 0.0000 0.7639 0.7462  -0.01
As2 0.0000 0.2361 0.2538  -0.01
As3 0.5000 0.2369 0.7553  -0.03
As4 0.5000 0.7631 0.2447  -0.03
Pu1 0.0000 0.5000 0.5000  5.17
Zr1 0.0000 0.0000 0.0000  -0.03
Zr2 0.5000 0.0000 0.5000  0.01
Pa1 0.5000 0.5000 0.0000  -0.02


[5]
Material: Tb2Dy4Ge3O2
Method: DFT, PBE
State: relaxed

Values from the calculation:
Its formation energy (no corrections) is -1.5698 eV/atom. As for the symmetry: I4/mmm (139). Its spin magnetization is 0.00 μB/cell.

Lattice parameters (Å, degrees): 4.5460 4.5460 12.2739 100.67 100.67 90.00
Sites, in units of the cell vectors:
Dy1 0.5807 0.0807 0.1614
Dy2 0.9193 0.4193 0.8386
Dy3 0.0807 0.5807 0.1614
Dy4 0.4193 0.9193 0.8386
Tb1 0.3020 0.3020 0.6041
Tb2 0.6980 0.6980 0.3959
Ge1 0.0000 0.0000 0.0000
Ge2 0.1756 0.1756 0.3513
Ge3 0.8244 0.8244 0.6487
O1 0.4025 0.4025 0.8051
O2 0.5975 0.5975 0.1949


[6]
Material: Th2Sn3Pb3
Method: DFT, PBE
State: relaxed

Values from the calculation:
The calculation puts the electronic total energy at -40.64 eV for the cell shown. As for the symmetry: Pmmm (47). Its spin magnetization is 0.00 μB/cell.

Lattice parameters (Å, degrees): 4.7871 4.8319 9.7716 90.00 90.00 90.00
Sites, in units of the cell vectors:
Pb1 0.5000 0.0000 0.5000
Pb2 0.0000 0.5000 0.5000
Pb3 0.0000 0.5000 0.0000
Sn1 0.5000 0.5000 0.7536
Sn2 0.5000 0.0000 0.0000
Sn3 0.5000 0.5000 0.2464
Th1 0.0000 0.0000 0.2414
Th2 0.0000 0.0000 0.7586